1.
A plane-wave DFT calculation with PBE was carried out for a relaxed structure of Sn2S2O.

POSCAR file:
```
Sn2S2O
1.0
5.355 0.000 0.000
0.000 5.355 0.000
2.678 2.678 5.432
S Sn O
2 2 1
direct
0.176 0.176 0.648 S
0.824 0.824 0.352 S
0.750 0.250 0.500 Sn
0.250 0.750 0.500 Sn
0.000 0.000 0.000 O
```

Summary:
The total energy is -4.095 eV/atom. Its total magnetic moment is 0.00 μB per formula unit. The calculation puts the density of states at the Fermi level at 1.29 states/eV/cell.

2.
A plane-wave DFT calculation with PBE was carried out for a relaxed structure of Sn2S2O.

POSCAR file:
```
Sn2S2O
1.0
7.391 0.000 0.000
0.000 7.391 0.000
0.000 0.000 3.686
S Sn O
4 4 2
direct
0.344 0.844 0.000 S
0.844 0.656 0.000 S
0.656 0.156 0.000 S
0.156 0.344 0.000 S
0.166 0.666 0.500 Sn
0.666 0.834 0.500 Sn
0.834 0.334 0.500 Sn
0.334 0.166 0.500 Sn
0.000 0.000 0.000 O
0.500 0.500 0.000 O
```

Summary:
The total energy is -4.091 eV/atom. Its total magnetic moment is 0.00 μB per formula unit. The calculation puts the density of states at the Fermi level at 2.85 states/eV/cell.

3.
A plane-wave DFT calculation with PBE was carried out for a relaxed structure of SnS2O4.

POSCAR file:
```
SnS2O4
1.0
-0.009 5.689 4.836
-7.206 1.577 -1.869
-8.649 -5.005 5.871
Sn S O
4 8 16
direct
0.252 0.412 0.413 Sn
0.752 0.588 0.087 Sn
0.748 0.588 0.587 Sn
0.248 0.412 0.913 Sn
0.493 0.866 0.295 S
0.993 0.134 0.205 S
0.507 0.134 0.705 S
0.007 0.866 0.795 S
0.315 0.805 0.487 S
0.815 0.195 0.013 S
0.685 0.195 0.513 S
0.185 0.805 0.987 S
0.671 0.794 0.369 O
0.171 0.206 0.131 O
0.329 0.206 0.631 O
0.829 0.794 0.869 O
0.469 0.726 0.586 O
0.969 0.274 0.914 O
0.531 0.274 0.414 O
0.031 0.726 0.086 O
0.405 0.700 0.276 O
0.905 0.300 0.224 O
0.595 0.300 0.724 O
0.095 0.700 0.776 O
0.296 0.632 0.992 O
0.796 0.368 0.508 O
0.704 0.368 0.008 O
0.204 0.632 0.492 O
```

Summary:
The total energy is -5.661 eV/atom. Its total magnetic moment is 0.00 μB per formula unit. The calculation puts the density of states at the Fermi level at 0.00 states/eV/cell.

4.
A plane-wave DFT calculation with PBE was carried out for a relaxed structure of Sn2S3O12.

POSCAR file:
```
Sn2S3O12
1.0
9.053 0.000 -0.075
0.000 9.016 0.000
-0.585 0.000 12.298
Sn S O
8 12 48
direct
0.755 0.459 0.123 Sn
0.741 0.023 0.890 Sn
0.745 0.959 0.377 Sn
0.759 0.523 0.610 Sn
0.241 0.477 0.390 Sn
0.255 0.041 0.623 Sn
0.259 0.977 0.110 Sn
0.245 0.541 0.877 Sn
0.529 0.766 0.005 S
0.588 0.593 0.354 S
0.634 0.861 0.648 S
0.866 0.361 0.852 S
0.912 0.093 0.146 S
0.971 0.266 0.495 S
0.029 0.734 0.505 S
0.088 0.907 0.854 S
0.134 0.639 0.148 S
0.366 0.139 0.352 S
0.412 0.407 0.646 S
0.471 0.234 0.995 S
0.539 0.119 0.923 O
0.513 0.149 0.403 O
0.580 0.397 0.653 O
0.569 0.265 0.092 O
0.567 0.635 0.069 O
0.639 0.727 0.301 O
0.633 0.602 0.475 O
0.623 0.957 0.749 O
0.674 0.834 0.972 O
0.689 0.710 0.692 O
0.745 0.923 0.578 O
0.640 0.456 0.307 O
0.860 0.956 0.193 O
0.755 0.423 0.922 O
0.811 0.210 0.808 O
0.826 0.334 0.528 O
0.867 0.102 0.025 O
0.877 0.457 0.751 O
0.861 0.227 0.199 O
0.933 0.135 0.431 O
0.931 0.765 0.408 O
0.987 0.649 0.097 O
0.920 0.897 0.847 O
0.961 0.619 0.577 O
0.039 0.381 0.423 O
0.080 0.103 0.153 O
0.013 0.351 0.903 O
0.069 0.235 0.592 O
0.067 0.865 0.569 O
0.139 0.773 0.801 O
0.123 0.543 0.249 O
0.133 0.898 0.975 O
0.174 0.666 0.472 O
0.189 0.790 0.192 O
0.245 0.577 0.078 O
0.140 0.044 0.807 O
0.360 0.544 0.693 O
0.255 0.077 0.422 O
0.311 0.290 0.308 O
0.326 0.166 0.028 O
0.377 0.043 0.251 O
0.367 0.398 0.525 O
0.361 0.273 0.699 O
0.433 0.365 0.931 O
0.431 0.735 0.908 O
0.420 0.603 0.347 O
0.487 0.851 0.597 O
0.461 0.881 0.077 O
```

Summary:
The total energy is -6.044 eV/atom. Its total magnetic moment is 0.00 μB per formula unit. The calculation puts the density of states at the Fermi level at 0.00 states/eV/cell.

5.
A plane-wave DFT calculation with PBE was carried out for a relaxed structure of Sn2SO.

POSCAR file:
```
Sn2SO
1.0
-3.351 -1.447 4.159
3.720 -3.727 1.701
3.012 2.004 6.805
S Sn O
2 4 2
direct
0.000 0.000 0.000 S
0.750 0.250 0.500 S
0.551 0.125 0.250 Sn
0.199 0.625 0.250 Sn
0.375 0.449 0.750 Sn
0.875 0.801 0.750 Sn
0.500 0.500 0.000 O
0.250 0.750 0.500 O
```

Summary:
The total energy is -4.773 eV/atom. Its total magnetic moment is 0.00 μB per formula unit. The calculation puts the density of states at the Fermi level at 1.07 states/eV/cell.

6.
A plane-wave DFT calculation with PBE was carried out for a relaxed structure of Sn2S3O12.

POSCAR file:
```
Sn2S3O12
1.0
9.134 0.000 0.000
0.000 9.168 0.000
0.000 0.000 12.563
Sn S O
8 12 48
direct
0.041 0.751 0.120 Sn
0.541 0.249 0.120 Sn
0.041 0.251 0.380 Sn
0.541 0.749 0.380 Sn
0.959 0.749 0.620 Sn
0.459 0.251 0.620 Sn
0.459 0.751 0.880 Sn
0.959 0.249 0.880 Sn
0.750 0.551 0.000 S
0.250 0.449 0.000 S
0.393 0.902 0.152 S
0.893 0.098 0.152 S
0.893 0.598 0.348 S
0.393 0.402 0.348 S
0.250 0.949 0.500 S
0.750 0.051 0.500 S
0.607 0.598 0.652 S
0.107 0.402 0.652 S
0.107 0.902 0.848 S
0.607 0.098 0.848 S
0.414 0.873 0.037 O
0.914 0.127 0.037 O
0.648 0.461 0.065 O
0.148 0.539 0.065 O
0.831 0.646 0.077 O
0.331 0.354 0.077 O
0.904 0.938 0.174 O
0.404 0.062 0.174 O
0.244 0.857 0.188 O
0.744 0.143 0.188 O
0.009 0.178 0.212 O
0.509 0.822 0.212 O
0.009 0.678 0.288 O
0.509 0.322 0.288 O
0.244 0.357 0.312 O
0.744 0.643 0.312 O
0.404 0.562 0.326 O
0.904 0.438 0.326 O
0.331 0.854 0.423 O
0.831 0.146 0.423 O
0.648 0.961 0.435 O
0.148 0.039 0.435 O
0.414 0.373 0.463 O
0.914 0.627 0.463 O
0.586 0.627 0.537 O
0.086 0.373 0.537 O
0.852 0.961 0.565 O
0.352 0.039 0.565 O
0.169 0.854 0.577 O
0.669 0.146 0.577 O
0.096 0.562 0.674 O
0.596 0.438 0.674 O
0.756 0.643 0.688 O
0.256 0.357 0.688 O
0.491 0.678 0.712 O
0.991 0.322 0.712 O
0.991 0.822 0.788 O
0.491 0.178 0.788 O
0.256 0.857 0.812 O
0.756 0.143 0.812 O
0.596 0.938 0.826 O
0.096 0.062 0.826 O
0.669 0.646 0.923 O
0.169 0.354 0.923 O
0.352 0.539 0.935 O
0.852 0.461 0.935 O
0.086 0.873 0.963 O
0.586 0.127 0.963 O
```

Summary:
The total energy is -5.963 eV/atom. Its total magnetic moment is 0.00 μB per formula unit. The calculation puts the density of states at the Fermi level at 15.33 states/eV/cell.